Record 1
The following is a DFT calculation (GGA-PBE) of an optimized crystal structure of Na3ErF6.

Lattice parameters (Å, degrees): 5.810 5.953 10.143 90.00 123.45 90.00
Fractional positions:
Na1 0.000 0.000 0.000
Na2 0.000 0.500 0.500
Na3 0.218 0.050 0.730
Na4 0.218 0.450 0.230
Na5 0.782 0.550 0.770
Na6 0.782 0.950 0.270
Er1 0.500 0.000 0.500
Er2 0.500 0.500 0.000
F1 0.138 0.178 0.449
F2 0.138 0.322 0.949
F3 0.234 0.706 0.409
F4 0.234 0.794 0.909
F5 0.401 0.087 0.267
F6 0.401 0.413 0.767
F7 0.599 0.587 0.233
F8 0.599 0.913 0.733
F9 0.766 0.206 0.091
F10 0.766 0.294 0.591
F11 0.862 0.678 0.051
F12 0.862 0.822 0.551

Formation energy without anion corrections ... -3.30 eV per atom
Energy relative to the lowest polymorph listed for this composition ... 0.000 eV/atom
Fermi-level density of states ... 0.00 states/eV/f.u.


Record 2
The following is a DFT calculation (GGA-PBE) of an optimized crystal structure of NaErF4.

Lattice parameters (Å, degrees): 6.590 6.590 6.590 131.14 131.14 71.58
Fractional positions:
Na1 0.375 0.125 0.250
Na2 0.625 0.875 0.750
Er1 0.125 0.375 0.750
Er2 0.875 0.625 0.250
F1 0.001 0.271 0.272
F2 0.229 0.000 0.729
F3 0.229 0.501 0.229
F4 0.500 0.271 0.772
F5 0.500 0.729 0.228
F6 0.771 0.000 0.271
F7 0.771 0.499 0.771
F8 0.999 0.729 0.728

Formation energy without anion corrections ... -3.72 eV per atom
Fermi-level density of states ... 0.00 states/eV/f.u.


Record 3
The following is a DFT calculation (GGA-PBE) of an optimized crystal structure of Na2ErF6.

Lattice parameters (Å, degrees): 6.884 6.884 6.884 147.46 135.48 56.22
Fractional positions:
Na1 0.171 0.171 0.000
Na2 0.829 0.829 0.000
Er1 0.500 0.500 0.000
F1 0.109 0.345 0.764
F2 0.264 0.000 0.264
F3 0.419 0.655 0.764
F4 0.581 0.345 0.236
F5 0.736 0.000 0.736
F6 0.891 0.655 0.236

Formation energy without anion corrections ... -3.05 eV per atom
Fermi-level density of states ... 5.00 states/eV/f.u.